Here is an optimized crystal structure of La5Ga2Hg from Alexandria. Energies are from PBE.

The structure in CIF format:
```
data_La5Ga2Hg
_chemical_formula_sum 'La20 Ga8 Hg4'
_symmetry_space_group_name_H-M 'I 4/m c m'
_symmetry_Int_Tables_number 140
_symmetry_space_group_name_Hall '-I 4 2c'
_cell_length_a 7.979
_cell_length_b 7.979
_cell_length_c 15.532
_cell_angle_alpha 90.00
_cell_angle_beta 90.00
_cell_angle_gamma 90.00
loop_
_atom_site_label
_atom_site_fract_x
_atom_site_fract_y
_atom_site_fract_z
_atom_site_occupancy
La1 0.000 0.000 0.000 1
La2 0.173 0.327 0.145 1
Ga1 0.117 0.383 0.500 1
Hg1 0.000 0.000 0.250 1
```

## Properties
Formation energy   -42 kJ per mole of atoms
Total energy   -4.31 eV per atom